# Ba2BiH2

A relaxed Ba2BiH2 crystal (GGA-PBE, the Alexandria database).

a = 5.574 Å, b = 5.574 Å, c = 9.442 Å
α = 90.00°, β = 90.00°, γ = 90.00°
Space group I4/mmm (No. 139)
Asymmetric unit:
Ba  0.000  0.500  0.250 [4 per cell]
Bi  0.000  0.000  0.000 [2 per cell]
H  0.000  0.000  0.282 [4 per cell]

Total energy = -33.0 eV per cell
Calculated volume = 293.3 Å³ per cell

***

# Ti6CrSn2

A relaxed Ti6CrSn2 crystal (GGA-PBE, the Alexandria database).

a = 7.6152 Å, b = 7.6152 Å, c = 3.2120 Å
α = 90.00°, β = 90.00°, γ = 120.00°
Space group P-62m (No. 189)
Asymmetric unit:
Ti  0.0000  0.3620  0.0000 [3 per cell]
Ti  0.0000  0.7537  0.5000 [3 per cell]
Cr  0.0000  0.0000  0.0000 [1 per cell]
Sn  0.3333  0.6667  0.5000 [2 per cell]

Energy of formation = -219.9 meV per atom
Calculated volume = 161.3 Å³ per cell

***

# PdPb4

A relaxed PdPb4 crystal (GGA-PBE, the Alexandria database).

a = 5.420 Å, b = 5.420 Å, c = 5.420 Å
α = 90.00°, β = 90.00°, γ = 90.00°
Space group Pm-3m (No. 221)
Asymmetric unit:
Pd  0.000  0.000  0.000 [1 per cell]
Pb  0.000  0.000  0.500 [3 per cell]
Pb  0.500  0.500  0.500 [1 per cell]

Energy of formation = 87.2 meV per atom
Calculated volume = 159.2 Å³ per cell

***

# Cs14La2S9

A relaxed Cs14La2S9 crystal (GGA-PBE, the Alexandria database).

a = 9.9049 Å, b = 9.9049 Å, c = 13.8373 Å
α = 90.00°, β = 90.00°, γ = 120.00°
Space group P-3 (No. 147)
Asymmetric unit:
Cs  0.0000  0.0000  0.2490 [2 per cell]
Cs  0.0503  0.6817  0.4077 [6 per cell]
Cs  0.0947  0.3959  0.0965 [6 per cell]
La  0.3333  0.6667  0.7705 [2 per cell]
S  0.0000  0.0000  0.5000 [1 per cell]
S  0.0994  0.3802  0.8392 [6 per cell]
S  0.3333  0.6667  0.5708 [2 per cell]

Calculated volume = 1175.6 Å³ per cell
Formation energy without anion corrections = -2816 kJ/mol of formula units

***

# Sm8HoSc5

A relaxed Sm8HoSc5 crystal (GGA-PBE, the Alexandria database).

a = 9.366 Å, b = 9.366 Å, c = 9.972 Å
α = 90.00°, β = 90.00°, γ = 90.00°
Space group I-4 (No. 82)
Asymmetric unit:
Sm  0.069  0.327  0.408 [8 per cell]
Sm  0.094  0.173  0.749 [8 per cell]
Ho  0.000  0.500  0.750 [2 per cell]
Sc  0.000  0.000  0.500 [2 per cell]
Sc  0.108  0.199  0.071 [8 per cell]

Energy of formation = 264.0 meV per atom
Calculated volume = 874.8 Å³ per cell

***

# RbTe2W

A relaxed RbTe2W crystal (GGA-PBE, the Alexandria database).

a = 3.3676 Å, b = 3.3676 Å, c = 33.4846 Å
α = 90.00°, β = 90.00°, γ = 120.00°
Space group R-3m (No. 166, hexagonal axes)
Asymmetric unit:
Rb  0.0000  0.0000  0.0000 [3 per cell]
Te  0.0000  0.0000  0.4213 [6 per cell]
W  0.0000  0.0000  0.5000 [3 per cell]

Calculated volume = 328.9 Å³ per cell
Formation energy without anion corrections = 306 kJ/mol of formula units

***

# Zr2CdSb

A relaxed Zr2CdSb crystal (GGA-PBE, the Alexandria database).

a = 4.215 Å, b = 4.756 Å, c = 9.661 Å
α = 90.00°, β = 90.00°, γ = 90.00°
Space group Cmm2 (No. 35)
Asymmetric unit:
Zr  0.000  0.000  0.000 [2 per cell]
Zr  0.000  0.500  0.235 [2 per cell]
Cd  0.000  0.000  0.472 [2 per cell]
Sb  0.000  0.500  0.765 [2 per cell]

Calculated volume = 193.7 Å³ per cell
Formation energy without anion corrections = -47 kJ/mol of formula units

***

# CsBe2PbI

A relaxed CsBe2PbI crystal (GGA-PBE, the Alexandria database).

a = 5.974 Å, b = 5.974 Å, c = 6.826 Å
α = 90.00°, β = 90.00°, γ = 90.00°
Space group P4/mmm (No. 123)
Asymmetric unit:
Cs  0.000  0.000  0.000 [1 per cell]
Be  0.000  0.500  0.000 [2 per cell]
Pb  0.500  0.500  0.500 [1 per cell]
I  0.000  0.000  0.500 [1 per cell]

Calculated volume = 243.6 Å³ per cell
Formation energy without anion corrections = 713 kJ/mol of formula units

***

# W2SeN

A relaxed W2SeN crystal (GGA-PBE, the Alexandria database).

a = 5.953 Å, b = 5.953 Å, c = 5.953 Å
α = 90.00°, β = 90.00°, γ = 90.00°
Space group Fm-3m (No. 225)
Asymmetric unit:
W  0.250  0.250  0.250 [8 per cell]
Se  0.000  0.000  0.000 [4 per cell]
N  0.000  0.000  0.500 [4 per cell]

Calculated volume = 210.9 Å³ per cell
Formation energy without anion corrections = 370 kJ/mol of formula units

***

# Li3Dy2ThTe6

A relaxed Li3Dy2ThTe6 crystal (GGA-PBE, the Alexandria database).

a = 7.503 Å, b = 12.995 Å, c = 7.545 Å
α = 90.00°, β = 109.37°, γ = 90.00°
Space group C2/m (No. 12)
Asymmetric unit:
Li  0.000  0.000  0.000 [2 per cell]
Li  0.000  0.335  0.000 [4 per cell]
Dy  0.000  0.167  0.500 [4 per cell]
Th  0.000  0.500  0.500 [2 per cell]
Te  0.244  0.169  0.239 [8 per cell]
Te  0.249  0.000  0.761 [4 per cell]

Calculated volume = 694.1 Å³ per cell
Formation energy without anion corrections = -1410 kJ/mol of formula units

***

# YHoBi

A relaxed YHoBi crystal (GGA-PBE, the Alexandria database).

a = 4.042 Å, b = 4.042 Å, c = 10.838 Å
α = 90.00°, β = 90.00°, γ = 90.00°
Space group I4mm (No. 107)
Asymmetric unit:
Y  0.000  0.000  0.000 [2 per cell]
Ho  0.000  0.000  0.314 [2 per cell]
Bi  0.000  0.000  0.658 [2 per cell]

Energy of formation = -473.3 meV per atom
Calculated volume = 177.1 Å³ per cell

***

# Sm3HoTe6

A relaxed Sm3HoTe6 crystal (GGA-PBE, the Alexandria database).

a = 7.397 Å, b = 8.206 Å, c = 13.383 Å
α = 90.00°, β = 122.75°, γ = 90.00°
Space group P2_1/c (No. 14)
Asymmetric unit:
Sm  0.000  0.000  0.000 [2 per cell]
Sm  0.305  0.120  0.753 [4 per cell]
Ho  0.500  0.000  0.500 [2 per cell]
Te  0.089  0.053  0.254 [4 per cell]
Te  0.245  0.673  0.081 [4 per cell]
Te  0.421  0.178  0.079 [4 per cell]

Calculated volume = 683.3 Å³ per cell
Formation energy without anion corrections = -1326 kJ/mol of formula units

***

# Ta4VTc

A relaxed Ta4VTc crystal (GGA-PBE, the Alexandria database).

a = 4.353 Å, b = 4.353 Å, c = 6.150 Å
α = 90.00°, β = 90.00°, γ = 90.00°
Space group P4/mmm (No. 123)
Asymmetric unit:
Ta  0.000  0.500  0.245 [4 per cell]
V  0.000  0.000  0.000 [1 per cell]
Tc  0.500  0.500  0.500 [1 per cell]

Energy of formation = 475.3 meV per atom
Calculated volume = 116.6 Å³ per cell

***

# CsMgP

A relaxed CsMgP crystal (GGA-PBE, the Alexandria database).

a = 12.921 Å, b = 4.611 Å, c = 7.922 Å
α = 90.00°, β = 90.00°, γ = 90.00°
Space group Pnma (No. 62)
Asymmetric unit:
Cs  0.158  0.250  0.033 [4 per cell]
Mg  0.040  0.250  0.581 [4 per cell]
P  0.074  0.750  0.690 [4 per cell]

Energy of formation = -454.3 meV per atom
Calculated volume = 472.0 Å³ per cell

***

# GdErCoCu

A relaxed GdErCoCu crystal (GGA-PBE, the Alexandria database).

a = 6.806 Å, b = 6.806 Å, c = 6.806 Å
α = 90.00°, β = 90.00°, γ = 90.00°
Space group F-43m (No. 216)
Asymmetric unit:
Gd  0.000  0.000  0.000 [4 per cell]
Er  0.000  0.000  0.500 [4 per cell]
Co  0.250  0.250  0.750 [4 per cell]
Cu  0.250  0.250  0.250 [4 per cell]

Energy of formation = -185.6 meV per atom
Calculated volume = 315.2 Å³ per cell

***

# NdTmAlGe

A relaxed NdTmAlGe crystal (GGA-PBE, the Alexandria database).

a = 4.057 Å, b = 4.435 Å, c = 10.980 Å
α = 90.00°, β = 90.00°, γ = 90.00°
Space group Amm2 (No. 38)
Asymmetric unit:
Nd  0.000  0.000  0.000 [2 per cell]
Tm  0.500  0.000  0.281 [2 per cell]
Al  0.000  0.000  0.717 [2 per cell]
Ge  0.500  0.000  0.566 [2 per cell]

Energy of formation = -658.8 meV per atom
Calculated volume = 197.6 Å³ per cell

***

# LiCaNiRh

A relaxed LiCaNiRh crystal (GGA-PBE, the Alexandria database).

a = 6.347 Å, b = 6.347 Å, c = 6.347 Å
α = 90.00°, β = 90.00°, γ = 90.00°
Space group F-43m (No. 216)
Asymmetric unit:
Li  0.000  0.000  0.000 [4 per cell]
Ca  0.250  0.250  0.750 [4 per cell]
Ni  0.000  0.000  0.500 [4 per cell]
Rh  0.250  0.250  0.250 [4 per cell]

Energy of formation = -30.5 meV per atom
Calculated volume = 255.7 Å³ per cell

***

# In4RhCl

A relaxed In4RhCl crystal (GGA-PBE, the Alexandria database).

a = 8.365 Å, b = 8.365 Å, c = 8.365 Å
α = 90.00°, β = 90.00°, γ = 90.00°
Space group F-43m (No. 216)
Asymmetric unit:
In  0.124  0.124  0.124 [16 per cell]
Rh  0.250  0.250  0.750 [4 per cell]
Cl  0.000  0.000  0.500 [4 per cell]

Calculated volume = 585.4 Å³ per cell
Formation energy without anion corrections = 172 kJ/mol of formula units

***

# TbTcIO4

A relaxed TbTcIO4 crystal (GGA-PBE, the Alexandria database).

a = 11.238 Å, b = 7.068 Å, c = 6.907 Å
α = 90.00°, β = 103.77°, γ = 90.00°
Space group C2/m (No. 12)
Asymmetric unit:
Tb  0.250  0.000  0.120 [4 per cell]
Tc  0.129  0.500  0.275 [4 per cell]
I  0.009  0.000  0.749 [4 per cell]
O  0.032  0.500  0.792 [4 per cell]
O  0.195  0.317  0.138 [8 per cell]
O  0.201  0.500  0.532 [4 per cell]

Calculated volume = 532.9 Å³ per cell
Formation energy without anion corrections = -1272 kJ/mol of formula units

***

# MnCr2Pt

A relaxed MnCr2Pt crystal (GGA-PBE, the Alexandria database).

a = 3.741 Å, b = 3.741 Å, c = 7.591 Å
α = 90.00°, β = 90.00°, γ = 90.00°
Space group I-4m2 (No. 119)
Asymmetric unit:
Mn  0.000  0.000  0.000 [2 per cell]
Cr  0.000  0.000  0.500 [2 per cell]
Cr  0.000  0.500  0.750 [2 per cell]
Pt  0.000  0.500  0.250 [2 per cell]

Energy of formation = -62.9 meV per atom
Calculated volume = 106.2 Å³ per cell